1.
VASP calculation (PBE) on a relaxed MnBe2Ru crystal. Values from VASP.

```
&SYSTEM
  ibrav = 0, nat = 4, ntyp = 3
/
ATOMIC_SPECIES
Ru 101.07 Ru.upf
Mn 54.94 Mn.upf
Be 9.01 Be.upf
ATOMIC_POSITIONS crystal
Ru 0.500 0.500 0.764
Mn 0.000 0.000 0.482
Be 0.000 0.000 0.010
Be 0.500 0.500 0.244
CELL_PARAMETERS angstrom
2.527 0.041 0.000
-0.990 2.325 0.000
0.000 0.000 7.549
```

Values from the calculation:
The energy comes out at -6.258 eV per atom. The energy of formation is 0.22 eV/atom.

***

2.
VASP calculation (PBE) on a relaxed Ac5La2PmTm crystal. Values from VASP.

```
&SYSTEM
  ibrav = 0, nat = 18, ntyp = 4
/
ATOMIC_SPECIES
Ac 227.00 Ac.upf
La 138.91 La.upf
Pm 145.00 Pm.upf
Tm 168.93 Tm.upf
ATOMIC_POSITIONS crystal
Ac 0.910 0.410 0.282
Ac 0.629 0.129 0.718
Ac 0.090 0.590 0.718
Ac 0.129 0.090 0.718
Ac 0.590 0.629 0.718
Ac 0.871 0.910 0.282
Ac 0.410 0.371 0.282
Ac 0.371 0.871 0.282
Ac 0.500 0.500 0.000
Ac 0.000 0.000 0.000
La 0.121 0.379 0.000
La 0.621 0.121 0.000
La 0.379 0.879 0.000
La 0.879 0.621 0.000
Pm 0.250 0.250 0.500
Pm 0.750 0.750 0.500
Tm 0.250 0.750 0.500
Tm 0.750 0.250 0.500
CELL_PARAMETERS angstrom
8.551 0.000 0.000
0.000 8.551 0.000
-4.275 -4.275 10.164
```

Values from the calculation:
The energy comes out at -4.136 eV per atom. The energy of formation is 0.27 eV/atom.

***

3.
VASP calculation (PBE) on a relaxed Be2CrFe crystal. Values from VASP.

```
&SYSTEM
  ibrav = 0, nat = 4, ntyp = 3
/
ATOMIC_SPECIES
Cr 52.00 Cr.upf
Fe 55.84 Fe.upf
Be 9.01 Be.upf
ATOMIC_POSITIONS crystal
Cr 0.000 0.500 0.500
Fe 0.500 0.500 0.000
Be 0.000 0.000 0.000
Be 0.500 0.000 0.500
CELL_PARAMETERS angstrom
-0.522 -4.379 1.678
4.011 1.597 -0.331
0.444 0.147 2.297
```

Values from the calculation:
The energy comes out at -6.370 eV per atom. The excess energy over the best structure of this formula in the dataset is 15.5 kJ per mole of atoms. The energy of formation is 0.01 eV/atom.

***

4.
VASP calculation (PBE) on a relaxed Ta2TiCuGe crystal. Values from VASP.

```
&SYSTEM
  ibrav = 0, nat = 5, ntyp = 4
/
ATOMIC_SPECIES
Ge 72.64 Ge.upf
Ti 47.87 Ti.upf
Cu 63.55 Cu.upf
Ta 180.95 Ta.upf
ATOMIC_POSITIONS crystal
Ge 0.000 0.000 0.000
Ti 0.500 0.500 0.500
Cu 0.000 0.000 0.500
Ta 0.000 0.500 0.000
Ta 0.500 0.000 0.000
CELL_PARAMETERS angstrom
4.796 0.000 0.000
0.000 4.796 0.000
0.000 0.000 4.283
```

Values from the calculation:
The energy comes out at -7.210 eV per atom. The energy of formation is 0.85 eV/atom.

***

5.
VASP calculation (PBE) on a relaxed RbTaCu2Se4 crystal. Values from VASP.

```
&SYSTEM
  ibrav = 0, nat = 16, ntyp = 4
/
ATOMIC_SPECIES
Rb 85.47 Rb.upf
Ta 180.95 Ta.upf
Cu 63.55 Cu.upf
Se 78.96 Se.upf
ATOMIC_POSITIONS crystal
Rb 0.118 0.250 0.632
Rb 0.486 0.750 0.368
Ta 0.650 0.250 0.211
Ta 0.439 0.750 0.789
Cu 0.559 0.500 0.000
Cu 0.559 0.000 0.000
Cu 0.940 0.750 0.792
Cu 0.148 0.250 0.208
Se 0.501 0.250 0.409
Se 0.295 0.750 0.993
Se 0.687 0.003 0.792
Se 0.895 0.997 0.208
Se 0.687 0.497 0.792
Se 0.895 0.503 0.208
Se 0.302 0.250 0.007
Se 0.092 0.750 0.591
CELL_PARAMETERS angstrom
-5.458 -1.165 -1.412
-1.631 -1.502 7.545
0.344 10.089 2.082
```

Values from the calculation:
The energy comes out at -5.128 eV per atom. For the uncorrected formation energy, the calculation gives -0.76 eV per atom. The excess energy over the best structure of this formula in the dataset is 0.0 kJ per mole of atoms.

***

6.
VASP calculation (PBE) on a relaxed CeSb2Pt crystal. Values from VASP.

```
&SYSTEM
  ibrav = 0, nat = 8, ntyp = 3
/
ATOMIC_SPECIES
Ce 140.12 Ce.upf
Sb 121.76 Sb.upf
Pt 195.08 Pt.upf
ATOMIC_POSITIONS crystal
Ce 0.125 0.125 0.251
Ce 0.875 0.875 0.749
Sb 0.000 0.500 0.000
Sb 0.500 0.000 0.000
Sb 0.334 0.334 0.667
Sb 0.666 0.666 0.333
Pt 0.250 0.750 0.500
Pt 0.750 0.250 0.500
CELL_PARAMETERS angstrom
-2.635 3.286 -1.616
-3.536 -2.801 0.071
1.089 2.504 9.613
```

Values from the calculation:
The energy comes out at -5.865 eV per atom. For the uncorrected formation energy, the calculation gives -0.81 eV per atom.

***

7.
VASP calculation (PBE) on a relaxed CaInPb2 crystal. Values from VASP.

```
&SYSTEM
  ibrav = 0, nat = 4, ntyp = 3
/
ATOMIC_SPECIES
Pb 207.20 Pb.upf
Ca 40.08 Ca.upf
In 114.82 In.upf
ATOMIC_POSITIONS crystal
Pb 0.996 0.996 0.013
Pb 0.504 0.504 0.487
Ca 0.750 0.750 0.750
In 0.250 0.250 0.250
CELL_PARAMETERS angstrom
5.942 0.043 -0.021
4.562 3.806 -0.021
1.696 0.621 5.327
```

Values from the calculation:
The energy comes out at -3.270 eV per atom. The energy of formation is -0.23 eV/atom.

***

8.
VASP calculation (PBE) on a relaxed MgTlBi2 crystal. Values from VASP.

```
&SYSTEM
  ibrav = 0, nat = 8, ntyp = 3
/
ATOMIC_SPECIES
Mg 24.30 Mg.upf
Tl 204.38 Tl.upf
Bi 208.98 Bi.upf
ATOMIC_POSITIONS crystal
Mg 0.500 0.500 0.000
Mg 0.250 0.750 0.500
Tl 0.000 0.000 0.000
Tl 0.750 0.250 0.500
Bi 0.615 0.125 0.250
Bi 0.135 0.625 0.250
Bi 0.375 0.385 0.750
Bi 0.875 0.865 0.750
CELL_PARAMETERS angstrom
6.993 0.000 0.000
0.000 6.993 0.000
3.496 3.496 6.526
```

Values from the calculation:
The energy comes out at -2.767 eV per atom. The energy of formation is 0.16 eV/atom.

***

9.
VASP calculation (PBE) on a relaxed InHg2Sb crystal. Values from VASP.

```
&SYSTEM
  ibrav = 0, nat = 4, ntyp = 3
/
ATOMIC_SPECIES
Hg 200.59 Hg.upf
In 114.82 In.upf
Sb 121.76 Sb.upf
ATOMIC_POSITIONS crystal
Hg 0.963 0.963 0.000
Hg 0.270 0.770 0.500
In 0.534 0.534 0.000
Sb 0.732 0.232 0.500
CELL_PARAMETERS angstrom
7.154 0.193 -0.274
4.560 5.515 0.274
-5.517 -3.551 2.870
```

Values from the calculation:
The energy comes out at -1.783 eV per atom. For the uncorrected formation energy, the calculation gives 0.08 eV per atom.

***

10.
VASP calculation (PBE) on a relaxed Pr2DySi2 crystal. Values from VASP.

```
&SYSTEM
  ibrav = 0, nat = 5, ntyp = 3
/
ATOMIC_SPECIES
Pr 140.91 Pr.upf
Dy 162.50 Dy.upf
Si 28.09 Si.upf
ATOMIC_POSITIONS crystal
Pr 0.705 0.795 0.295
Pr 0.295 0.205 0.705
Dy 0.500 0.500 0.000
Si 0.000 0.195 0.305
Si 0.000 0.805 0.695
CELL_PARAMETERS angstrom
4.036 0.000 1.719
1.201 5.244 2.777
-0.193 -0.028 6.051
```

Values from the calculation:
The energy comes out at -5.631 eV per atom. For the uncorrected formation energy, the calculation gives -0.63 eV per atom. The excess energy over the best structure of this formula in the dataset is 0.0 kJ per mole of atoms.

***

- Which of these has the highest energy?
  InHg2Sb

***

- Which formula does entry 2 have?
  Ac5La2PmTm

***

- Which formula does entry 3 have?
  Be2CrFe